# 1
# SrCoAsO, optimized geometry, DFT PBE with a Hubbard U
# * raw total energy: -5.0898 eV/atom
# * energy above the lowest structure with this stoichiometry: 0.000 kcal/mol of atoms
data_SrCoAsO
_chemical_formula_sum 'Sr2 Co2 As2 O2'
_symmetry_space_group_name_H-M 'P 4/n m m'
_symmetry_Int_Tables_number 129
_cell_length_a 4.290
_cell_length_b 4.290
_cell_length_c 8.444
_cell_angle_alpha 90.00
_cell_angle_beta 90.00
_cell_angle_gamma 90.00
loop_
_symmetry_equiv_pos_as_xyz
'x,y,z'
'-x,-y,-z'
'-y+1/2,x,z'
'y+1/2,-x,-z'
'-x+1/2,-y+1/2,z'
'x+1/2,y+1/2,-z'
'y,-x+1/2,z'
'-y,x+1/2,-z'
'x+1/2,-y,-z'
'-x+1/2,y,z'
'-y,-x,-z'
'y,x,z'
'-x,y+1/2,-z'
'x,-y+1/2,z'
'y+1/2,x+1/2,-z'
'-y+1/2,-x+1/2,z'
loop_
_atom_site_label
_atom_site_type_symbol
_atom_site_fract_x
_atom_site_fract_y
_atom_site_fract_z
Sr1 Sr 0.250 0.250 0.125
Co1 Co 0.250 0.750 0.500
As1 As 0.250 0.250 0.627
O1 O 0.250 0.750 0.000

# 2
# SrCoAsO, optimized geometry, DFT PBE with a Hubbard U
# * raw total energy: -5.0260 eV/atom
# * energy above the lowest structure with this stoichiometry: 1.471 kcal/mol of atoms
data_SrCoAsO
_chemical_formula_sum 'Sr2 Co2 As2 O2'
_symmetry_space_group_name_H-M 'P m c 21'
_symmetry_Int_Tables_number 26
_symmetry_space_group_name_Hall 'P 2c -2'
_cell_length_a 3.435
_cell_length_b 6.751
_cell_length_c 6.883
_cell_angle_alpha 90.00
_cell_angle_beta 90.00
_cell_angle_gamma 90.00
loop_
_atom_site_label
_atom_site_type_symbol
_atom_site_fract_x
_atom_site_fract_y
_atom_site_fract_z
Sr1 Sr 0.000 0.202 0.000
Co1 Co 0.500 0.259 0.394
As1 As 0.500 0.441 0.697
O1 O 0.000 0.115 0.350

# 3
# TaCoAsO, optimized geometry, DFT PBE with a Hubbard U
# * raw total energy: -7.3794 eV/atom
# * energy above the lowest structure with this stoichiometry: 0.336 kcal/mol of atoms
data_TaCoAsO
_chemical_formula_sum 'Ta2 Co2 As2 O2'
_symmetry_space_group_name_H-M 'P m c 21'
_symmetry_Int_Tables_number 26
_symmetry_space_group_name_Hall 'P 2c -2'
_cell_length_a 3.334
_cell_length_b 6.105
_cell_length_c 6.025
_cell_angle_alpha 90.00
_cell_angle_beta 90.00
_cell_angle_gamma 90.00
loop_
_atom_site_label
_atom_site_type_symbol
_atom_site_fract_x
_atom_site_fract_y
_atom_site_fract_z
Ta1 Ta 0.000 0.013 0.000
Co1 Co 0.500 0.374 0.880
As1 As 0.500 0.244 0.269
O1 O 0.000 0.230 0.743

# 4
# TaCoAsO, optimized geometry, DFT PBE with a Hubbard U
# * raw total energy: -7.3940 eV/atom
# * energy above the lowest structure with this stoichiometry: 0.000 kcal/mol of atoms
data_TaCoAsO
_chemical_formula_sum 'Ta2 Co2 As2 O2'
_symmetry_space_group_name_H-M 'P 4/n m m'
_symmetry_Int_Tables_number 129
_cell_length_a 3.492
_cell_length_b 3.492
_cell_length_c 8.467
_cell_angle_alpha 90.00
_cell_angle_beta 90.00
_cell_angle_gamma 90.00
loop_
_symmetry_equiv_pos_as_xyz
'x,y,z'
'-x,-y,-z'
'-y+1/2,x,z'
'y+1/2,-x,-z'
'-x+1/2,-y+1/2,z'
'x+1/2,y+1/2,-z'
'y,-x+1/2,z'
'-y,x+1/2,-z'
'x+1/2,-y,-z'
'-x+1/2,y,z'
'-y,-x,-z'
'y,x,z'
'-x,y+1/2,-z'
'x,-y+1/2,z'
'y+1/2,x+1/2,-z'
'-y+1/2,-x+1/2,z'
loop_
_atom_site_label
_atom_site_type_symbol
_atom_site_fract_x
_atom_site_fract_y
_atom_site_fract_z
Ta1 Ta 0.250 0.250 0.156
Co1 Co 0.250 0.750 0.500
As1 As 0.250 0.250 0.707
O1 O 0.250 0.750 0.000